No. 1
## GdAlAsO (PBE-GGA)

Data for crystalline GdAlAsO at its relaxed geometry.

```
8
Lattice="4.004 0.000 0.000 0.000 4.004 0.000 0.000 0.000 10.006" Properties=species:S:1:pos:R:3 pbc="T T T"
Al 3.003 3.003 0.562
Al 1.001 1.001 9.443
As 3.003 3.003 2.945
As 1.001 1.001 7.060
Gd 3.003 1.001 5.003
Gd 1.001 3.003 5.003
O 3.003 1.001 0.000
O 1.001 3.003 0.000
```

Output
Energy ... -0.4020 Ry/atom
Calculated density ... 5.7 g/cm³

---

No. 2
## GdAlAsO (PBE-GGA)

Data for crystalline GdAlAsO at its relaxed geometry.

```
8
Lattice="3.942 0.000 0.000 0.000 4.870 0.000 0.000 0.000 6.779" Properties=species:S:1:pos:R:3 pbc="T T T"
Al 0.000 0.773 2.968
Al 0.000 4.097 6.358
As 0.000 3.251 1.936
As 0.000 1.619 5.325
Gd 1.971 1.542 0.656
Gd 1.971 3.328 4.046
O 1.971 0.746 2.941
O 1.971 4.124 6.330
```

Output
Energy ... -0.4498 Ry/atom
Calculated density ... 7.0 g/cm³

---

- The highest calculated density belongs to which entry?
  number 2